PBE-GGA HfTc3Br, relaxed; total energy = -6.521 eV per atom; distance to the lowest polymorph of the same formula = 0.876 eV per atom; mass density = 7.3 g cm⁻³; space-group type = Pm-3m, No. 221; D(E_F) = 0.678 states/eV/atom
1.0
5.010 0.000 0.000
0.000 5.010 0.000
0.000 0.000 5.010
Hf Tc Br
1 3 1
Direct
0.000 0.000 0.000
0.000 0.500 0.000
0.000 0.000 0.500
0.500 0.000 0.000
0.500 0.500 0.500

***

PBE-GGA Hf2TcBr, relaxed; total energy = -7.772 eV per atom; distance to the lowest polymorph of the same formula = 0.000 eV per atom; mass density = 11.6 g cm⁻³; space-group type = Fm-3m, No. 225; D(E_F) = 0.858 states/eV/atom
1.0
0.000 3.372 3.372
3.372 0.000 3.372
3.372 3.372 0.000
Hf Tc Br
2 1 1
Direct
0.250 0.250 0.250
0.750 0.750 0.750
0.500 0.500 0.500
0.000 0.000 0.000

***

PBE-GGA Hf2TcBr, relaxed; total energy = -7.428 eV per atom; distance to the lowest polymorph of the same formula = 0.344 eV per atom; mass density = 7.9 g cm⁻³; space-group type = I-42d, No. 122; D(E_F) = 0.443 states/eV/atom
1.0
5.866 0.000 0.000
0.000 5.866 0.000
2.933 2.933 6.573
Hf Tc Br
4 2 2
Direct
0.692 0.125 0.250
0.058 0.625 0.250
0.375 0.308 0.750
0.875 0.942 0.750
0.000 0.000 0.000
0.750 0.250 0.500
0.500 0.500 0.000
0.250 0.750 0.500

***

Question: Which of these has the lowest distance to the lowest polymorph of the same formula?
Answer: number 2